# K2PtO2

A geometry-optimized K2PtO2 structure (PBE-GGA, OQMD).

Computed properties:
mass density = 6.0 Mg/m³
magnetization = 0.000 μB per atom
total DFT energy (no corrections) = -4.664 eV per atom

Unit cell a=3.2218 b=10.7069 c=9.7537 alpha=90.00 beta=90.00 gamma=90.00
Space group Cmc2_1 (No. 36)
One atom of each set of equivalent atoms:
K (0.0000, 0.1015, 0.0000) (multiplicity 4)
K (0.0000, 0.3496, 0.1817) (multiplicity 4)
Pt (0.0000, 0.3779, 0.8478) (multiplicity 4)
O (0.0000, 0.0318, 0.2580) (multiplicity 4)
O (0.0000, 0.2092, 0.4435) (multiplicity 4)


# NaPmU

A geometry-optimized NaPmU structure (PBE-GGA, OQMD).

Computed properties:
energy above the lowest structure with this stoichiometry = 0.0 kJ/mol of atoms
mass density = 6.5 Mg/m³
magnetization = 1.843 μB per atom

Unit cell a=7.4440 b=7.4440 c=7.4440 alpha=90.00 beta=90.00 gamma=90.00
Space group F-43m (No. 216)
One atom of each set of equivalent atoms:
Na (0.0000, 0.0000, 0.0000) (multiplicity 4)
Pm (0.2500, 0.2500, 0.7500) (multiplicity 4)
U (0.2500, 0.2500, 0.2500) (multiplicity 4)


# CoW2

A geometry-optimized CoW2 structure (PBE-GGA, OQMD).

Computed properties:
energy above the lowest structure with this stoichiometry = 16.4 kJ/mol of atoms
mass density = 16.5 Mg/m³
magnetization = 0.000 μB per atom
energy relative to the elements = 0.18 eV/atom

Unit cell a=5.0193 b=8.5120 c=8.0627 alpha=90.00 beta=90.00 gamma=90.00
Space group Cmcm (No. 63)
One atom of each set of equivalent atoms:
Co (0.0000, 0.0000, 0.0000) (multiplicity 4)
Co (0.0000, 0.1725, 0.2500) (multiplicity 4)
W (0.0000, 0.3267, 0.5596) (multiplicity 8)
W (0.2451, 0.4207, 0.2500) (multiplicity 8)


# InTePbAuS2

A geometry-optimized InTePbAuS2 structure (PBE-GGA, OQMD).

Computed properties:
mass density = 7.0 Mg/m³
total DFT energy (no corrections) = -3.677 eV per atom

Unit cell a=4.2058 b=13.5836 c=11.7706 alpha=90.00 beta=90.00 gamma=90.00
Space group Cmcm (No. 63)
One atom of each set of equivalent atoms:
In (0.0000, 0.2279, 0.2500) (multiplicity 4)
Te (0.0000, 0.4222, 0.7500) (multiplicity 4)
Pb (0.0000, 0.5000, 0.0000) (multiplicity 4)
Au (0.0000, 0.1308, 0.7500) (multiplicity 4)
S (0.0000, 0.1364, 0.5530) (multiplicity 8)


# TlOsSeO

A geometry-optimized TlOsSeO structure (PBE-GGA, OQMD).

Computed properties:
energy above the lowest structure with this stoichiometry = 0.0 kJ/mol of atoms
mass density = 9.9 Mg/m³
magnetization = 0.086 μB per atom

Unit cell a=3.6507 b=8.1435 c=5.5502 alpha=90.00 beta=90.00 gamma=90.00
Space group Pmc2_1 (No. 26)
One atom of each set of equivalent atoms:
Tl (0.0000, 0.1163, 0.0000) (multiplicity 2)
Os (0.5000, 0.4901, 0.2817) (multiplicity 2)
Se (0.0000, 0.3540, 0.5144) (multiplicity 2)
O (0.5000, 0.3176, 0.0204) (multiplicity 2)


# PrYBe2Si2

A geometry-optimized PrYBe2Si2 structure (PBE-GGA, OQMD).

Computed properties:
mass density = 4.6 Mg/m³
magnetization = 0.002 μB per atom
total DFT energy (no corrections) = -5.551 eV per atom

Unit cell a=3.9163 b=3.9163 c=8.3385 alpha=90.00 beta=90.00 gamma=120.00
Space group P-3m1 (No. 164)
One atom of each set of equivalent atoms:
Pr (0.0000, 0.0000, 0.0000) (multiplicity 1)
Y (0.0000, 0.0000, 0.5000) (multiplicity 1)
Be (0.3333, 0.6667, 0.7412) (multiplicity 2)
Si (0.3333, 0.6667, 0.2609) (multiplicity 2)


# TcSbPO

A geometry-optimized TcSbPO structure (PBE-GGA, OQMD).

Computed properties:
energy above the lowest structure with this stoichiometry = 43.0 kJ/mol of atoms
mass density = 5.5 Mg/m³
magnetization = 0.077 μB per atom

Unit cell a=4.1595 b=4.1595 c=9.3569 alpha=90.00 beta=90.00 gamma=90.00
Space group P4/nmm (No. 129, origin choice 2)
One atom of each set of equivalent atoms:
Tc (0.2500, 0.2500, 0.0469) (multiplicity 2)
Sb (0.2500, 0.7500, 0.5000) (multiplicity 2)
P (0.2500, 0.2500, 0.2727) (multiplicity 2)
O (0.2500, 0.7500, 0.0000) (multiplicity 2)


# YNiPdPb

A geometry-optimized YNiPdPb structure (PBE-GGA, OQMD).

Computed properties:
mass density = 9.8 Mg/m³
magnetization = 0.000 μB per atom
total DFT energy (no corrections) = -5.695 eV per atom

Unit cell a=6.7779 b=6.7779 c=6.7779 alpha=90.00 beta=90.00 gamma=90.00
Space group F-43m (No. 216)
One atom of each set of equivalent atoms:
Y (0.0000, 0.0000, 0.0000) (multiplicity 4)
Ni (0.2500, 0.2500, 0.7500) (multiplicity 4)
Pd (0.2500, 0.2500, 0.2500) (multiplicity 4)
Pb (0.0000, 0.0000, 0.5000) (multiplicity 4)


- Among the records above, which one has the lowest mass density?
  PrYBe2Si2


- What is the mass density in the fifth record?
  9.9 Mg/m³